{
  "formula": "ThSc3Ni8",
  "functional": "PBE",
  "state": "optimized geometry",
  "formation_energy_ev_per_atom": -0.47,
  "spacegroup": "P3m1 (156)",
  "rho_g_cm3": 8.0,
  "lattice_angstrom": [[4.970, 0.000, 0.000], [-2.485, 4.304, 0.000], [0.000, 0.000, 8.158]],
  "species": ["Th", "Sc", "Sc", "Sc", "Ni", "Ni", "Ni", "Ni", "Ni", "Ni", "Ni", "Ni"],
  "frac_coords": [[0.000, 0.000, 0.570], [0.667, 0.333, 0.416], [0.667, 0.333, 0.056], [0.000, 0.000, 0.954], [0.333, 0.667, 0.498], [0.333, 0.667, 0.999], [0.501, 0.002, 0.757], [0.501, 0.499, 0.757], [0.998, 0.499, 0.757], [0.167, 0.335, 0.245], [0.167, 0.833, 0.245], [0.665, 0.833, 0.245]]
}